Sr2CaMg (PBEsol, optimized geometry); V = 163.9 Å³/f.u.; total DFT energy (no corrections) = -1.878 eV/atom; symmetry = Cm
1.0
4.201 0.000 0.000
0.000 6.251 -0.081
-2.100 -3.058 6.282
Mg Sr Ca
1 2 1
Direct
0.758 0.258 0.515 Mg
0.245 0.746 0.491 Sr
0.029 0.029 0.058 Sr
0.468 0.468 0.936 Ca

YTl (PBEsol, optimized geometry); V = 52.9 Å³/f.u.; total DFT energy (no corrections) = -5.125 eV/atom; symmetry = Imma
1.0
3.853 0.000 0.000
0.000 4.971 0.000
-1.926 -2.485 5.526
Y Tl
2 2
Direct
0.380 0.630 0.759 Y
0.620 0.370 0.241 Y
0.862 0.112 0.724 Tl
0.138 0.888 0.276 Tl

Ir2Au (PBEsol, optimized geometry); V = 45.6 Å³/f.u.; symmetry = C2/m; energy above the most stable polymorph in this dataset = 49.2 meV per atom
1.0
-1.486 -2.292 0.279
0.229 0.827 -5.509
5.292 -3.263 1.391
Au Ir
2 4
Direct
0.979 0.959 0.208 Au
0.021 0.041 0.792 Au
0.297 0.595 0.865 Ir
0.655 0.310 0.536 Ir
0.345 0.690 0.464 Ir
0.703 0.405 0.135 Ir